1.
# Na5CoSeO2

A geometry-optimized Na5CoSeO2 structure (GGA+U, Alexandria).

a b c (Å): 4.676 4.676 8.172
angles (deg): 90.00 90.00 90.00
Space group P4/mmm (No. 123)
Asymmetric unit:
1 Na 0.000 0.000 0.000 [1 per cell]
2 Na 0.000 0.500 0.252 [4 per cell]
3 Co 0.000 0.000 0.500 [1 per cell]
4 Se 0.500 0.500 0.000 [1 per cell]
5 O 0.000 0.000 0.283 [2 per cell]


2.
# NaCoSiO4

A geometry-optimized NaCoSiO4 structure (GGA+U, Alexandria).

a b c (Å): 5.378 5.378 6.156
angles (deg): 90.00 90.00 90.00
Space group I-4 (No. 82)
Asymmetric unit:
1 Na 0.000 0.000 0.000 [2 per cell]
2 Co 0.000 0.500 0.250 [2 per cell]
3 Si 0.000 0.000 0.500 [2 per cell]
4 O 0.143 0.791 0.348 [8 per cell]


3.
# Na3Sm3CoO8

A geometry-optimized Na3Sm3CoO8 structure (GGA+U, Alexandria).

a b c (Å): 6.8301 6.8301 16.6617
angles (deg): 90.00 90.00 120.00
Space group R-3m (No. 166, hexagonal axes)
Asymmetric unit:
1 Na 0.0000 0.5000 0.0000 [9 per cell]
2 Sm 0.0000 0.5000 0.5000 [9 per cell]
3 Co 0.0000 0.0000 0.5000 [3 per cell]
4 O 0.0000 0.0000 0.2392 [6 per cell]
5 O 0.0392 0.5196 0.2328 [18 per cell]


4.
# NaSm2CoO6

A geometry-optimized NaSm2CoO6 structure (GGA+U, Alexandria).

a b c (Å): 5.409 5.864 9.316
angles (deg): 90.00 124.53 90.00
Space group P2_1/c (No. 14)
Asymmetric unit:
1 Na 0.000 0.000 0.000 [2 per cell]
2 Sm 0.224 0.076 0.747 [4 per cell]
3 Co 0.500 0.000 0.500 [2 per cell]
4 O 0.166 0.171 0.451 [4 per cell]
5 O 0.269 0.723 0.433 [4 per cell]
6 O 0.387 0.043 0.276 [4 per cell]


5.
# Na2SmCoO4

A geometry-optimized Na2SmCoO4 structure (GGA+U, Alexandria).

a b c (Å): 5.693 5.693 6.586
angles (deg): 90.00 90.00 90.00
Space group I-4 (No. 82)
Asymmetric unit:
1 Na 0.000 0.000 0.000 [2 per cell]
2 Na 0.000 0.500 0.250 [2 per cell]
3 Sm 0.000 0.000 0.500 [2 per cell]
4 Co 0.000 0.500 0.750 [2 per cell]
5 O 0.211 0.735 0.689 [8 per cell]


6.
# NaSrCoO3

A geometry-optimized NaSrCoO3 structure (GGA+U, Alexandria).

a b c (Å): 13.031 3.826 7.011
angles (deg): 90.00 106.84 90.00
Space group C2/m (No. 12)
Asymmetric unit:
1 Na 0.148 0.000 0.070 [4 per cell]
2 Sr 0.153 0.000 0.590 [4 per cell]
3 Co 0.002 0.500 0.242 [4 per cell]
4 O 0.003 0.000 0.249 [4 per cell]
5 O 0.144 0.500 0.824 [4 per cell]
6 O 0.150 0.500 0.337 [4 per cell]

Calculated values
N(E_F) (states/eV/f.u.): 0.74


7.
# Na2SrV2CoO8

A geometry-optimized Na2SrV2CoO8 structure (GGA+U, Alexandria).

a b c (Å): 13.839 5.586 9.669
angles (deg): 90.00 90.02 90.00
Space group P2_1/c (No. 14)
Asymmetric unit:
1 Na 0.084 0.032 0.351 [4 per cell]
2 Na 0.415 0.531 0.181 [4 per cell]
3 Sr 0.251 0.061 0.041 [4 per cell]
4 V 0.134 0.535 0.184 [4 per cell]
5 V 0.366 0.519 0.853 [4 per cell]
6 Co 0.000 0.000 0.000 [2 per cell]
7 Co 0.500 0.000 0.000 [2 per cell]
8 O 0.073 0.189 0.594 [4 per cell]
9 O 0.085 0.690 0.633 [4 per cell]
10 O 0.117 0.501 0.364 [4 per cell]
11 O 0.249 0.055 0.314 [4 per cell]
12 O 0.253 0.522 0.136 [4 per cell]
13 O 0.380 0.691 0.422 [4 per cell]
14 O 0.416 0.196 0.464 [4 per cell]
15 O 0.429 0.514 0.696 [4 per cell]

Calculated values
N(E_F) (states/eV/f.u.): 0.00


8.
# Na3Co3TcO8

A geometry-optimized Na3Co3TcO8 structure (GGA+U, Alexandria).

a b c (Å): 6.1396 6.1396 16.3976
angles (deg): 90.00 90.00 120.00
Space group R-3m (No. 166, hexagonal axes)
Asymmetric unit:
1 Na 0.0000 0.5000 0.0000 [9 per cell]
2 Co 0.0000 0.5000 0.5000 [9 per cell]
3 Tc 0.0000 0.0000 0.5000 [3 per cell]
4 O 0.0000 0.0000 0.2258 [6 per cell]
5 O 0.0332 0.5166 0.2333 [18 per cell]

Calculated values
N(E_F) (states/eV/f.u.): 0.72


| no. | VASP energy (eV/atom) | density (Mg/m³) |
| --- | --- | --- |
| 1 | -3.9137 | 2.65 |
| 2 | -6.3815 | 3.25 |
| 3 | -6.3925 | 5.23 |
| 4 | -6.7120 | 6.53 |
| 5 | -5.9093 | 4.97 |
| 6 | -5.5101 | 4.32 |
| 7 | -6.6100 | 3.75 |
| 8 | -5.9225 | 4.39 |